[1]
An optimized crystal structure of Pm15Nd4Al, computed with PBE.

a b c (Å): 5.092 5.092 25.810
angles (deg): 90.00 90.00 90.00
Fractional positions:
Pm (0.500, 0.500, 0.000)
Pm (0.500, 0.500, 0.193)
Pm (0.500, 0.500, 0.398)
Pm (0.500, 0.500, 0.602)
Pm (0.500, 0.500, 0.807)
Pm (0.500, 0.000, 0.092)
Pm (0.500, 0.000, 0.296)
Pm (0.500, 0.000, 0.500)
Pm (0.500, 0.000, 0.704)
Pm (0.500, 0.000, 0.908)
Pm (0.000, 0.500, 0.092)
Pm (0.000, 0.500, 0.296)
Pm (0.000, 0.500, 0.500)
Pm (0.000, 0.500, 0.704)
Pm (0.000, 0.500, 0.908)
Nd (0.000, 0.000, 0.195)
Nd (0.000, 0.000, 0.399)
Nd (0.000, 0.000, 0.601)
Nd (0.000, 0.000, 0.805)
Al (0.000, 0.000, 0.000)

Calculated values
ρ = 6.90 Mg/m³
Fermi-level density of states = 1.31 states/eV per atom
formation energy from the elements = -0.010 eV/atom
calculated total energy = -94.28 eV per cell
total magnetization = 0.0 Bohr magnetons per cell

=====

[2]
An optimized crystal structure of LaTm2Pu, computed with PBE.

a b c (Å): 3.527 3.527 9.973
angles (deg): 90.00 90.00 90.00
Site moments in Bohr magnetons follow the coordinates.
Fractional positions:
Tm (0.000, 0.000, 0.764)  0.19
Tm (0.000, 0.000, 0.236)  0.19
La (0.500, 0.500, 0.500)  -0.01
Pu (0.500, 0.500, 0.000)  5.56

Calculated values
ρ = 9.65 Mg/m³
Fermi-level density of states = 2.74 states/eV per atom
formation energy from the elements = 0.105 eV/atom
calculated total energy = -27.78 eV per cell
total magnetization = 6.4 Bohr magnetons per cell

=====

[3]
An optimized crystal structure of TiNbN2F, computed with PBE.

a b c (Å): 4.007 4.007 3.666
angles (deg): 90.00 90.00 90.00
Site moments in Bohr magnetons follow the coordinates.
Fractional positions:
N (0.000, 0.500, 0.000)  -0.07
N (0.500, 0.000, 0.000)  -0.07
Nb (0.500, 0.500, 0.500)  1.64
F (0.000, 0.000, 0.500)  0.04
Ti (0.000, 0.000, 0.000)  0.09

Calculated values
ρ = 5.30 Mg/m³
E_form (uncorrected) = -0.6036 eV per atom
Fermi-level density of states = 0.66 states/eV per atom
calculated total energy = -39.50 eV per cell
total magnetization = 1.9 Bohr magnetons per cell

=====

[4]
An optimized crystal structure of ReRu2Au, computed with PBE.

a b c (Å): 4.736 4.736 4.736
angles (deg): 130.60 130.60 72.45
Fractional positions:
Au (0.250, 0.750, 0.500)
Re (0.750, 0.250, 0.500)
Ru (0.000, 0.000, 0.000)
Ru (0.500, 0.500, 0.000)

Calculated values
ρ = 16.24 Mg/m³
Fermi-level density of states = 1.14 states/eV per atom
formation energy from the elements = 0.324 eV/atom
calculated total energy = -32.98 eV per cell
total magnetization = 0.0 Bohr magnetons per cell

=====

[5]
An optimized crystal structure of Rb3ZrMn2Se6, computed with PBE.

a b c (Å): 6.872 6.872 8.257
angles (deg): 98.91 98.91 117.43
Site moments in Bohr magnetons follow the coordinates.
Fractional positions:
Rb (0.164, 0.836, 0.500)  0.01
Rb (0.836, 0.164, 0.500)  0.01
Rb (0.500, 0.500, 0.500)  0.00
Zr (0.000, 0.000, 0.000)  0.12
Mn (0.330, 0.670, 0.000)  4.06
Mn (0.670, 0.330, 0.000)  4.06
Se (0.952, 0.612, 0.814)  0.01
Se (0.716, 0.716, 0.172)  -0.01
Se (0.048, 0.388, 0.186)  0.01
Se (0.612, 0.952, 0.814)  0.01
Se (0.284, 0.284, 0.828)  -0.01
Se (0.388, 0.048, 0.186)  0.01

Calculated values
ρ = 4.68 Mg/m³
E_form (uncorrected) = -0.9356 eV per atom
Fermi-level density of states = 0.29 states/eV per atom
calculated total energy = -61.92 eV per cell
total magnetization = 9.0 Bohr magnetons per cell

=====

[6]
An optimized crystal structure of Pm2Mg2Ge3, computed with PBE.

a b c (Å): 6.497 6.497 6.497
angles (deg): 53.98 53.98 53.98
Fractional positions:
Pm (0.500, 0.500, 0.500)
Pm (0.000, 0.000, 0.000)
Mg (0.698, 0.698, 0.698)
Mg (0.302, 0.302, 0.302)
Ge (0.000, 0.000, 0.500)
Ge (0.000, 0.500, 0.000)
Ge (0.500, 0.000, 0.000)

Calculated values
ρ = 5.55 Mg/m³
Fermi-level density of states = 0.37 states/eV per atom
formation energy from the elements = -0.392 eV/atom
calculated total energy = -29.29 eV per cell
total magnetization = 0.0 Bohr magnetons per cell

=====

[7]
An optimized crystal structure of Y2Ho2Ga4Pd, computed with PBE.

a b c (Å): 6.552 6.552 6.552
angles (deg): 98.65 115.14 115.14
Fractional positions:
Y (0.500, 0.750, 0.250)
Y (0.500, 0.250, 0.750)
Ho (0.000, 0.690, 0.690)
Ho (0.000, 0.310, 0.310)
Ga (0.000, 0.750, 0.250)
Ga (0.501, 0.750, 0.750)
Ga (0.000, 0.250, 0.750)
Ga (0.499, 0.250, 0.250)
Pd (0.000, 0.000, 0.000)

Calculated values
ρ = 7.03 Mg/m³
Fermi-level density of states = 0.80 states/eV per atom
formation energy from the elements = -0.443 eV/atom
calculated total energy = -43.37 eV per cell
total magnetization = 0.0 Bohr magnetons per cell

=====

[8]
An optimized crystal structure of BaPdAu4, computed with PBE.

a b c (Å): 5.692 5.692 5.692
angles (deg): 60.00 60.00 60.00
Fractional positions:
Au (0.624, 0.624, 0.128)
Au (0.624, 0.128, 0.624)
Au (0.624, 0.624, 0.624)
Au (0.128, 0.624, 0.624)
Ba (0.000, 0.000, 0.000)
Pd (0.250, 0.250, 0.250)

Calculated values
ρ = 13.14 Mg/m³
Fermi-level density of states = 0.27 states/eV per atom
formation energy from the elements = -0.339 eV/atom
calculated total energy = -22.26 eV per cell
total magnetization = 0.0 Bohr magnetons per cell

=====

[9]
An optimized crystal structure of MgOsW2, computed with PBE.

a b c (Å): 4.430 2.750 5.321
angles (deg): 76.45 90.00 90.00
Fractional positions:
Mg (0.500, 0.250, 0.250)
Os (0.500, 0.750, 0.750)
W (0.000, 0.982, 0.999)
W (0.000, 0.518, 0.501)

Calculated values
ρ = 15.34 Mg/m³
Fermi-level density of states = 1.05 states/eV per atom
formation energy from the elements = 0.296 eV/atom
calculated total energy = -37.55 eV per cell
total magnetization = 0.0 Bohr magnetons per cell

=====

[10]
An optimized crystal structure of Pm4Zn2Sn5, computed with PBE.

a b c (Å): 3.550 7.922 10.167
angles (deg): 93.72 90.00 90.00
Fractional positions:
Pm (0.500, 0.736, 0.563)
Pm (0.500, 0.179, 0.884)
Pm (0.500, 0.264, 0.437)
Pm (0.500, 0.821, 0.116)
Zn (0.000, 0.060, 0.626)
Zn (0.000, 0.940, 0.374)
Sn (0.000, 0.579, 0.308)
Sn (0.000, 0.174, 0.166)
Sn (0.000, 0.500, 0.000)
Sn (0.000, 0.826, 0.834)
Sn (0.000, 0.421, 0.692)

Calculated values
ρ = 7.59 Mg/m³
Fermi-level density of states = 0.55 states/eV per atom
formation energy from the elements = -0.530 eV/atom
calculated total energy = -47.39 eV per cell
total magnetization = 0.0 Bohr magnetons per cell

=====

[11]
An optimized crystal structure of CeZrCuAu, computed with PBE.

a b c (Å): 4.957 4.957 4.957
angles (deg): 60.00 60.00 60.00
Site moments in Bohr magnetons follow the coordinates.
Fractional positions:
Cu (0.750, 0.750, 0.750)  0.02
Au (0.250, 0.250, 0.250)  0.03
Zr (0.000, 0.000, 0.000)  0.54
Ce (0.500, 0.500, 0.500)  0.70

Calculated values
ρ = 9.49 Mg/m³
Fermi-level density of states = 1.83 states/eV per atom
formation energy from the elements = -0.195 eV/atom
calculated total energy = -22.64 eV per cell
total magnetization = 1.7 Bohr magnetons per cell

=====

[12]
An optimized crystal structure of ReHPb2W, computed with PBE.

a b c (Å): 5.536 3.342 5.536
angles (deg): 90.00 90.00 90.00
Site moments in Bohr magnetons follow the coordinates.
Fractional positions:
Pb (0.000, 0.000, 0.500)  -0.01
Pb (0.500, 0.000, 0.000)  -0.01
Re (0.500, 0.500, 0.500)  2.60
W (0.000, 0.000, 0.000)  1.13
H (0.000, 0.500, 0.000)  -0.01

Calculated values
ρ = 12.73 Mg/m³
Fermi-level density of states = 0.74 states/eV per atom
calculated total energy = -28.56 eV per cell
total magnetization = 4.4 Bohr magnetons per cell